(1)
First-principles (PBE-GGA) data for an optimized crystal structure of CuAsP2Cl, as listed in the Alexandria database.

```
CuAsP2Cl
1.0
4.614 0.000 0.000
0.000 4.614 0.000
0.000 0.000 4.435
Cu As P Cl
1 1 2 1
Direct
0.000 0.000 0.000 Cu
0.500 0.500 0.500 As
0.000 0.500 0.000 P
0.500 0.000 0.000 P
0.000 0.000 0.500 Cl
```

Summary:
excess energy over the best structure of this formula in the dataset = 0.000 eV per atom
space-group type = No. 123


(2)
First-principles (PBE-GGA) data for an optimized crystal structure of Rb2CuAsCl6, as listed in the Alexandria database.

```
Rb2CuAsCl6
1.0
-3.823 3.823 4.547
3.823 -3.823 4.547
3.823 3.823 -4.547
Rb Cu As Cl
2 1 1 6
Direct
0.250 0.750 0.500 Rb
0.750 0.250 0.500 Rb
0.000 0.000 0.000 Cu
0.500 0.500 0.000 As
0.234 0.234 0.000 Cl
0.266 0.266 0.531 Cl
0.266 0.734 0.000 Cl
0.734 0.266 0.000 Cl
0.734 0.734 0.469 Cl
0.766 0.766 0.000 Cl
```

Summary:
space-group type = No. 139


For the records above, the corresponding raw formation energy values read 0.739 -1.115 eV/atom.